Record 1
First-principles (PBE) data for a relaxed Li2BSbS4 crystal, as listed in the Alexandria database.

Values from the calculation:
Uncorrected formation energy (eV/atom): -0.69
Calculated total energy (eV/atom): -4.585

Cell lengths 8.4744, 6.3440, 5.7603 Å; angles 90.00, 90.00, 90.00 degrees
Space group Pmn2_1 (No. 31)
Unique sites:
1 Li 0.2478 0.1807 0.0000
2 B 0.0000 0.3416 0.5126
3 Sb 0.0000 0.7135 0.9873
4 S 0.0000 0.3406 0.8557
5 S 0.0000 0.6372 0.4201
6 S 0.1853 0.1938 0.4147

***

Record 2
First-principles (PBE) data for a relaxed BaMnB2Se8 crystal, as listed in the Alexandria database.

Values from the calculation:
Uncorrected formation energy (eV/atom): -0.40
Calculated total energy (eV/atom): -4.756

Cell lengths 10.5740, 5.5313, 10.2705 Å; angles 90.00, 99.42, 90.00 degrees
Space group C2/m (No. 12)
Unique sites:
1 Ba 0.0000 0.0000 0.0000
2 Mn 0.0000 0.0000 0.5000
3 B 0.1448 0.5000 0.3001
4 Se 0.0102 0.2583 0.6935
5 Se 0.1906 0.5000 0.1202
6 Se 0.2385 0.0000 0.5170

***

Question: What is the uncorrected formation energy in the second record?
Answer: -0.40 eV/atom

***

Question: The highest calculated total energy belongs to which entry?
Answer: Li2BSbS4